Entry 1:
# AlAg5 PBE-GGA relaxed
data_AlAg5
_chemical_formula_sum 'Al1 Ag5'
_space_group_name_H-M_alt 'P 1 2/m 1'
_space_group_IT_number 10
_space_group_name_Hall '-P 2y'
_cell_length_a 5.0772
_cell_length_b 2.9272
_cell_length_c 7.0744
_cell_angle_alpha 90.00
_cell_angle_beta 90.89
_cell_angle_gamma 90.00
loop_
_atom_site_label
_atom_site_fract_x
_atom_site_fract_y
_atom_site_fract_z
Al1 0.0000 0.0000 0.0000
Ag1 0.1606 0.5000 0.3204
Ag2 0.3303 0.0000 0.6630
Ag3 0.5000 0.5000 0.0000
# **Relative energy among the computed polymorphs**: 5 meV/atom
# **Energy relative to the elements**: -0.022 eV/atom
# **Electronic total energy**: -3.021 eV/atom
# **D(E_F)**: 1.35 states/eV/cell

Entry 2:
# LaTlAg3 PBE-GGA relaxed
data_LaTlAg3
_chemical_formula_sum 'La4 Tl4 Ag12'
_space_group_name_H-M_alt 'C m m m'
_space_group_IT_number 65
_space_group_name_Hall '-C 2 2'
_cell_length_a 4.8114
_cell_length_b 28.9396
_cell_length_c 3.5081
_cell_angle_alpha 90.00
_cell_angle_beta 90.00
_cell_angle_gamma 90.00
loop_
_atom_site_label
_atom_site_fract_x
_atom_site_fract_y
_atom_site_fract_z
La1 0.0000 0.1761 0.0000
Tl1 0.0000 0.3779 0.5000
Ag1 0.0000 0.0524 0.5000
Ag2 0.0000 0.2742 0.5000
Ag3 0.0000 0.4544 0.0000
# **Relative energy among the computed polymorphs**: 0 meV/atom
# **Energy relative to the elements**: -0.028 eV/atom
# **Electronic total energy**: -3.198 eV/atom
# **D(E_F)**: 12.51 states/eV/cell

Entry 3:
# TcPBr2 PBE-GGA relaxed
data_TcPBr2
_chemical_formula_sum 'Tc1 P1 Br2'
_space_group_name_H-M_alt 'P 4 m m'
_space_group_IT_number 99
_space_group_name_Hall 'P 4 -2'
_cell_length_a 3.0160
_cell_length_b 3.0160
_cell_length_c 9.7196
_cell_angle_alpha 90.00
_cell_angle_beta 90.00
_cell_angle_gamma 90.00
loop_
_atom_site_label
_atom_site_fract_x
_atom_site_fract_y
_atom_site_fract_z
Tc1 0.0000 0.0000 0.0000
P1 0.5000 0.5000 0.8664
Br1 0.0000 0.0000 0.5489
Br2 0.5000 0.5000 0.1864
# **Relative energy among the computed polymorphs**: 370 meV/atom
# **Electronic total energy**: -4.586 eV/atom
# **ΔE_f (raw)**: 0.195 eV/atom
# **D(E_F)**: 3.05 states/eV/cell

Entry 4:
# SmErScAl PBE-GGA relaxed
data_SmErScAl
_chemical_formula_sum 'Sm4 Er4 Sc4 Al4'
_space_group_name_H-M_alt 'F -4 3 m'
_space_group_IT_number 216
_space_group_name_Hall 'F -4 2 3'
_cell_length_a 7.4303
_cell_length_b 7.4303
_cell_length_c 7.4303
_cell_angle_alpha 90.00
_cell_angle_beta 90.00
_cell_angle_gamma 90.00
loop_
_atom_site_label
_atom_site_fract_x
_atom_site_fract_y
_atom_site_fract_z
Sm1 0.0000 0.0000 0.0000
Er1 0.0000 0.0000 0.5000
Sc1 0.2500 0.2500 0.2500
Al1 0.2500 0.2500 0.7500
# **Energy relative to the elements**: -0.103 eV/atom
# **Electronic total energy**: -4.942 eV/atom
# **D(E_F)**: 23.72 states/eV/cell